# 1
{"formula": "P2Pt", "functional": "GGA-PBE", "state": "relaxed", "cell": [[1.852, -6.241, 0.000], [1.852, 6.241, 0.000], [0.000, 0.000, 4.521]], "species": ["P", "P", "P", "P", "Pt", "Pt"], "fractional_positions": [[0.031, 0.969, 0.750], [0.283, 0.717, 0.750], [0.717, 0.283, 0.250], [0.969, 0.031, 0.250], [0.346, 0.654, 0.250], [0.654, 0.346, 0.750]], "ef_kj_per_mol_atoms": -25.03, "m_tot_mub_per_fu": 0.000}

=====

# 2
{"formula": "CsErSiS4", "functional": "GGA-PBE", "state": "relaxed", "cell": [[6.371, 0.000, 0.000], [0.000, 6.736, 0.000], [-2.983, 0.000, 8.970]], "species": ["Cs", "Cs", "Er", "Er", "Si", "Si", "S", "S", "S", "S", "S", "S", "S", "S"], "fractional_positions": [[0.233, 0.250, 0.438], [0.767, 0.750, 0.562], [0.276, 0.250, 0.956], [0.724, 0.750, 0.044], [0.276, 0.750, 0.156], [0.724, 0.250, 0.844], [0.068, 0.750, 0.933], [0.082, 0.750, 0.301], [0.498, 0.003, 0.809], [0.498, 0.497, 0.809], [0.502, 0.503, 0.191], [0.502, 0.997, 0.191], [0.918, 0.250, 0.699], [0.932, 0.250, 0.067]], "dft_energy_ev_per_atom": -5.34, "m_tot_mub_per_fu": 0.000}

=====

# 3
{"formula": "SiPPb2", "functional": "GGA-PBE", "state": "relaxed", "cell": [[5.007, 0.000, 0.000], [0.000, 5.007, 0.000], [0.000, 0.000, 3.751]], "species": ["Si", "P", "Pb", "Pb"], "fractional_positions": [[0.000, 0.000, 0.000], [0.500, 0.500, 0.000], [0.000, 0.500, 0.500], [0.500, 0.000, 0.500]], "dft_energy_ev_per_atom": -4.08, "m_tot_mub_per_fu": 0.000}

=====

# 4
{"formula": "NdCuSb2O8", "functional": "GGA-PBE", "state": "relaxed", "cell": [[5.054, 0.000, 0.000], [0.000, 6.330, 0.000], [-0.543, 0.000, 5.031]], "species": ["Nd", "Cu", "Sb", "Sb", "O", "O", "O", "O", "O", "O", "O", "O"], "fractional_positions": [[0.000, 0.000, 0.000], [0.000, 0.500, 0.000], [0.500, 0.265, 0.500], [0.500, 0.735, 0.500], [0.204, 0.283, 0.201], [0.204, 0.717, 0.201], [0.318, 0.500, 0.679], [0.332, 0.000, 0.667], [0.668, 0.000, 0.333], [0.682, 0.500, 0.321], [0.796, 0.283, 0.799], [0.796, 0.717, 0.799]], "dft_energy_ev_per_atom": -6.22, "m_tot_mub_per_fu": 0.000}

=====

# 5
{"formula": "RbTa2ReIr", "functional": "GGA-PBE", "state": "relaxed", "cell": [[4.662, 0.000, 0.000], [0.000, 4.662, 0.000], [0.000, 0.000, 4.560]], "species": ["Rb", "Ta", "Ta", "Re", "Ir"], "fractional_positions": [[0.000, 0.000, 0.000], [0.000, 0.500, 0.000], [0.500, 0.000, 0.000], [0.000, 0.000, 0.500], [0.500, 0.500, 0.500]], "ef_kj_per_mol_atoms": 332.67, "m_tot_mub_per_fu": 0.000}

=====

# 6
{"formula": "Ni4AgMo", "functional": "GGA-PBE", "state": "relaxed", "cell": [[0.000, 3.354, 3.354], [3.354, 0.000, 3.354], [3.354, 3.354, 0.000]], "species": ["Ni", "Ni", "Ni", "Ni", "Ag", "Mo"], "fractional_positions": [[0.125, 0.125, 0.125], [0.125, 0.125, 0.626], [0.125, 0.626, 0.125], [0.626, 0.125, 0.125], [0.500, 0.500, 0.500], [0.750, 0.750, 0.750]], "ef_kj_per_mol_atoms": 11.50, "m_tot_mub_per_fu": 0.001}